1.
First-principles (GGA-PBE) data for a geometry-optimized BaInCo3 structure, as listed in Alexandria via LeMat-Bulk.

Values from the calculation:
The calculation puts the calculated volume at 120.4 Å³ per cell. Its calculated total energy is -4.237 eV per atom. The distance to the lowest polymorph of the same formula comes out at 0 meV per atom.

Cell: 4.938 4.938 4.938 Å, 90.00 90.00 90.00°
Site moments in Bohr magnetons follow the coordinates.
Element x y z (fractional)
Co 0.000 0.500 0.000  1.74
Co 0.500 0.000 0.000  1.61
In 0.000 0.000 0.000  -0.10
Ba 0.500 0.500 0.500  -0.09
Co 0.000 0.000 0.500  1.69

2.
First-principles (GGA-PBE) data for a geometry-optimized BaInCo3 structure, as listed in Alexandria via LeMat-Bulk.

Values from the calculation:
The calculation puts the calculated volume at 117.0 Å³ per cell. Its calculated total energy is -3.222 eV per atom. The distance to the lowest polymorph of the same formula comes out at 1014 meV per atom.

Cell: 4.891 4.891 4.891 Å, 90.00 90.00 90.00°
Site moments in Bohr magnetons follow the coordinates.
Element x y z (fractional)
Co 0.000 0.000 0.500  1.07
Co 0.000 0.500 0.000  1.12
Co 0.500 0.000 0.000  1.19
Ba 0.000 0.000 0.000  -0.15
In 0.500 0.500 0.500  0.01

3.
First-principles (GGA-PBE) data for a geometry-optimized Ba4InCo structure, as listed in Alexandria via LeMat-Bulk.

Values from the calculation:
The calculation puts the calculated volume at 258.5 Å³ per cell. Its calculated total energy is -2.133 eV per atom.

Cell: 7.151 7.151 7.151 Å, 60.00 60.00 60.00°
Site moments in Bohr magnetons follow the coordinates.
Element x y z (fractional)
Ba 0.375 0.375 0.875  -0.07
Ba 0.875 0.375 0.375  -0.07
Ba 0.375 0.375 0.375  -0.07
In 0.000 0.000 0.000  0.02
Co 0.750 0.750 0.750  2.05
Ba 0.375 0.875 0.375  -0.07

4.
First-principles (GGA-PBE) data for a geometry-optimized BaLiIn2Co structure, as listed in Alexandria via LeMat-Bulk.

Values from the calculation:
The calculation puts the calculated volume at 129.6 Å³ per cell. Its calculated total energy is -3.408 eV per atom.

Cell: 5.012 5.012 5.157 Å, 90.00 90.00 90.00°
Element x y z (fractional)
Li 0.000 0.000 0.500
Co 0.000 0.000 0.000
Ba 0.500 0.500 0.500
In 0.500 0.000 0.000
In 0.000 0.500 0.000

Number 1: ΔH_f (0 K) 0.9588 eV/atom. Number 2: ΔH_f (0 K) 1.9733 eV/atom. Number 3: ΔH_f (0 K) 0.7895 eV/atom. Number 4: ΔH_f (0 K) -0.1244 eV/atom.